The following is a DFT calculation (GGA+U) of an optimized crystal structure of Fe2CuRhO6.

Its total energy is -5.933 eV per atom.

It has space group R3 (No. 146, hexagonal axes), with a = 5.0376 Å, b = 5.0376 Å, c = 13.5215 Å, α = 90.00°, β = 90.00° and γ = 120.00°. Symmetry generates all atoms from Fe at (0.0000, 0.0000, 0.0000), Fe at (0.0000, 0.0000, 0.4955), Cu at (0.0000, 0.0000, 0.2009), Rh at (0.0000, 0.0000, 0.6928), O at (0.0126, 0.3113, 0.0940) and O at (0.0178, 0.7043, 0.5942).